Run w
3
Lattice="-2.397 -1.000 -1.715 1.960 -0.766 -2.293 0.574 -2.336 3.384" Properties=species:S:1:pos:R:3 comment="NiGeH (GGA-PBE, optimized geometry)" vol_a3_per_fu=34.10 total_magnetization_mub_per_fu=0.000 pbc="T T T"
Ni 0.172 -1.553 0.666
Ge -0.160 -1.418 -1.775
H 0.018 -0.165 0.071

=====

Run x
12
Lattice="6.404 1.125 0.000 -2.529 3.757 0.000 0.000 0.000 4.729" Properties=species:S:1:pos:R:3 comment="NiGeH (GGA-PBE, optimized geometry)" vol_a3_per_fu=31.81 total_magnetization_mub_per_fu=0.000 pbc="T T T"
Ni 3.977 2.459 2.061
Ni -0.102 2.423 2.668
Ni 1.162 0.545 4.425
Ni 2.713 4.338 0.304
Ge 0.568 2.882 0.224
Ge 2.042 3.878 2.589
Ge 1.833 1.004 2.140
Ge 3.307 2.000 4.505
H 4.707 3.636 2.974
H -2.097 3.125 0.610
H 5.972 1.757 4.119
H -0.832 1.247 1.755

=====

Run y
6
Lattice="-2.188 -2.730 0.441 1.722 -1.786 -2.507 4.140 -2.563 4.670" Properties=species:S:1:pos:R:3 comment="NiGeH (GGA-PBE, optimized geometry)" vol_a3_per_fu=41.96 total_magnetization_mub_per_fu=0.000 pbc="T T T"
Ni 2.070 -1.282 2.335
Ni 1.837 -3.539 1.303
Ge 1.970 -1.580 -0.002
Ge 1.936 -3.241 3.640
H 1.014 -0.987 -1.081
H 2.893 -3.834 4.719

=====

So which one is most stable? That would be run x, about 0.132 eV/atom below the next structure.